1.
Density functional theory data (PBE) for a geometry-optimized YGeTe2Ru structure.

```
data_YGeTe2Ru
_cell_length_a 5.843
_cell_length_b 5.843
_cell_length_c 4.933
_cell_angle_alpha 90.00
_cell_angle_beta 90.00
_cell_angle_gamma 90.00
_symmetry_space_group_name_H-M 'P 4/m m m'
_symmetry_Int_Tables_number 123
_symmetry_space_group_name_Hall '-P 4 2'
loop_
_atom_site_label
_atom_site_type_symbol
_atom_site_fract_x
_atom_site_fract_y
_atom_site_fract_z
Y1 Y 0.000 0.000 0.000
Ge1 Ge 0.500 0.500 0.500
Te1 Te 0.000 0.500 0.000
Ru1 Ru 0.000 0.000 0.500
```

Summary:
The offset from the most stable computed form is 0.00 eV per formula unit. As for the uncorrected formation energy: 800 meV per atom.

2.
Density functional theory data (PBE) for a geometry-optimized ThGe2Ru2 structure.

```
data_ThGe2Ru2
_cell_length_a 4.306
_cell_length_b 4.306
_cell_length_c 9.991
_cell_angle_alpha 90.00
_cell_angle_beta 90.00
_cell_angle_gamma 90.00
_symmetry_space_group_name_H-M 'I 4/m m m'
_symmetry_Int_Tables_number 139
_symmetry_space_group_name_Hall '-I 4 2'
loop_
_atom_site_label
_atom_site_type_symbol
_atom_site_fract_x
_atom_site_fract_y
_atom_site_fract_z
Th1 Th 0.000 0.000 0.000
Ge1 Ge 0.000 0.000 0.370
Ru1 Ru 0.000 0.500 0.250
```

Summary:
The energy of formation is -3.47 eV per formula unit.

3.
Density functional theory data (PBE) for a geometry-optimized Th3Ge4Ru2 structure.

```
data_Th3Ge4Ru2
_cell_length_a 11.015
_cell_length_b 4.395
_cell_length_c 8.432
_cell_angle_alpha 90.00
_cell_angle_beta 108.10
_cell_angle_gamma 90.00
_symmetry_space_group_name_H-M 'C 1 2/m 1'
_symmetry_Int_Tables_number 12
loop_
_symmetry_equiv_pos_as_xyz
'x,y,z'
'-x,-y,-z'
'-x,y,-z'
'x,-y,z'
'x+1/2,y+1/2,z'
'-x+1/2,-y+1/2,-z'
'-x+1/2,y+1/2,-z'
'x+1/2,-y+1/2,z'
loop_
_atom_site_label
_atom_site_type_symbol
_atom_site_fract_x
_atom_site_fract_y
_atom_site_fract_z
Th1 Th 0.000 0.000 0.000
Th2 Th 0.127 0.500 0.695
Ge1 Ge 0.094 0.000 0.396
Ge2 Ge 0.209 0.500 0.077
Ru1 Ru 0.191 0.500 0.368
```

Summary:
The offset from the most stable computed form is 0.00 eV per formula unit. The energy of formation is -6.43 eV per formula unit.

4.
Density functional theory data (PBE) for a geometry-optimized ThGe3Ru structure.

```
data_ThGe3Ru
_cell_length_a 6.167
_cell_length_b 5.723
_cell_length_c 5.830
_cell_angle_alpha 90.00
_cell_angle_beta 90.00
_cell_angle_gamma 90.00
_symmetry_space_group_name_H-M 'P m n 21'
_symmetry_Int_Tables_number 31
loop_
_symmetry_equiv_pos_as_xyz
'x,y,z'
'-x+1/2,-y,z+1/2'
'-x,y,z'
'x+1/2,-y,z+1/2'
loop_
_atom_site_label
_atom_site_type_symbol
_atom_site_fract_x
_atom_site_fract_y
_atom_site_fract_z
Th1 Th 0.000 0.143 0.000
Ge1 Ge 0.000 0.905 0.546
Ge2 Ge 0.232 0.327 0.456
Ru1 Ru 0.000 0.613 0.253
```

Summary:
The energy of formation is -2.57 eV per formula unit.

5.
Density functional theory data (PBE) for a geometry-optimized ThGe2Ru structure.

```
data_ThGe2Ru
_cell_length_a 4.2912
_cell_length_b 4.2912
_cell_length_c 14.9251
_cell_angle_alpha 90.00
_cell_angle_beta 90.00
_cell_angle_gamma 120.00
_symmetry_space_group_name_H-M 'R -3 m'
_symmetry_Int_Tables_number 166
_symmetry_space_group_name_Hall '-R 3 2"'
loop_
_atom_site_label
_atom_site_type_symbol
_atom_site_fract_x
_atom_site_fract_y
_atom_site_fract_z
Th1 Th 0.0000 0.0000 0.0000
Ge1 Ge 0.0000 0.0000 0.2162
Ru1 Ru 0.0000 0.0000 0.5000
```

Summary:
The energy of formation is -2.49 eV per formula unit.

6.
Density functional theory data (PBE) for a geometry-optimized Th2GeRu2 structure.

```
data_Th2GeRu2
_cell_length_a 11.086
_cell_length_b 4.303
_cell_length_c 9.996
_cell_angle_alpha 90.00
_cell_angle_beta 115.37
_cell_angle_gamma 90.00
_symmetry_space_group_name_H-M 'C 1 2/m 1'
_symmetry_Int_Tables_number 12
loop_
_symmetry_equiv_pos_as_xyz
'x,y,z'
'-x,-y,-z'
'-x,y,-z'
'x,-y,z'
'x+1/2,y+1/2,z'
'-x+1/2,-y+1/2,-z'
'-x+1/2,y+1/2,-z'
'x+1/2,-y+1/2,z'
loop_
_atom_site_label
_atom_site_type_symbol
_atom_site_fract_x
_atom_site_fract_y
_atom_site_fract_z
Th1 Th 0.001 0.000 0.329
Th2 Th 0.175 0.000 0.097
Ge1 Ge 0.217 0.500 0.368
Ru1 Ru 0.051 0.500 0.879
Ru2 Ru 0.146 0.500 0.591
```

Summary:
The offset from the most stable computed form is 0.35 eV per formula unit. The energy of formation is -2.63 eV per formula unit.

7.
Density functional theory data (PBE) for a geometry-optimized Th2Ge2Ru3 structure.

```
data_Th2Ge2Ru3
_cell_length_a 8.354
_cell_length_b 8.354
_cell_length_c 8.354
_cell_angle_alpha 90.00
_cell_angle_beta 90.00
_cell_angle_gamma 90.00
_symmetry_space_group_name_H-M 'I 21 3'
_symmetry_Int_Tables_number 199
_symmetry_space_group_name_Hall 'I 2b 2c 3'
loop_
_atom_site_label
_atom_site_type_symbol
_atom_site_fract_x
_atom_site_fract_y
_atom_site_fract_z
Th1 Th 0.004 0.004 0.004
Ge1 Ge 0.207 0.293 0.707
Ru1 Ru 0.000 0.250 0.248
```

Summary:
The energy of formation is -3.31 eV per formula unit.

8.
Density functional theory data (PBE) for a geometry-optimized Th3Ge4Ru2 structure.

```
data_Th3Ge4Ru2
_cell_length_a 11.223
_cell_length_b 4.337
_cell_length_c 8.318
_cell_angle_alpha 90.00
_cell_angle_beta 104.52
_cell_angle_gamma 90.00
_symmetry_space_group_name_H-M 'C 1 2/m 1'
_symmetry_Int_Tables_number 12
loop_
_symmetry_equiv_pos_as_xyz
'x,y,z'
'-x,-y,-z'
'-x,y,-z'
'x,-y,z'
'x+1/2,y+1/2,z'
'-x+1/2,-y+1/2,-z'
'-x+1/2,y+1/2,-z'
'x+1/2,-y+1/2,z'
loop_
_atom_site_label
_atom_site_type_symbol
_atom_site_fract_x
_atom_site_fract_y
_atom_site_fract_z
Th1 Th 0.000 0.000 0.000
Th2 Th 0.169 0.500 0.650
Ge1 Ge 0.053 0.000 0.383
Ge2 Ge 0.233 0.500 0.078
Ru1 Ru 0.094 0.500 0.265
```

Summary:
The offset from the most stable computed form is 0.11 eV per formula unit. The energy of formation is -6.31 eV per formula unit.

Question: What is the formula in the fifth record?
Answer: ThGe2Ru

Copy entry 8 word for word.
Density functional theory data (PBE) for a geometry-optimized Th3Ge4Ru2 structure.

```
data_Th3Ge4Ru2
_cell_length_a 11.223
_cell_length_b 4.337
_cell_length_c 8.318
_cell_angle_alpha 90.00
_cell_angle_beta 104.52
_cell_angle_gamma 90.00
_symmetry_space_group_name_H-M 'C 1 2/m 1'
_symmetry_Int_Tables_number 12
loop_
_symmetry_equiv_pos_as_xyz
'x,y,z'
'-x,-y,-z'
'-x,y,-z'
'x,-y,z'
'x+1/2,y+1/2,z'
'-x+1/2,-y+1/2,-z'
'-x+1/2,y+1/2,-z'
'x+1/2,-y+1/2,z'
loop_
_atom_site_label
_atom_site_type_symbol
_atom_site_fract_x
_atom_site_fract_y
_atom_site_fract_z
Th1 Th 0.000 0.000 0.000
Th2 Th 0.169 0.500 0.650
Ge1 Ge 0.053 0.000 0.383
Ge2 Ge 0.233 0.500 0.078
Ru1 Ru 0.094 0.500 0.265
```

Summary:
The offset from the most stable computed form is 0.11 eV per formula unit. The energy of formation is -6.31 eV per formula unit.